No. 1
! PBE Li3Tc, relaxed; values from VASP
&SYSTEM
  ibrav = 0, nat = 8, ntyp = 2
/
ATOMIC_SPECIES
Li 6.94 Li.upf
Tc 98.00 Tc.upf
ATOMIC_POSITIONS crystal
Li 0.250 0.500 0.000
Li 0.500 0.000 0.750
Li 0.500 0.000 0.250
Li 0.000 0.750 0.500
Li 0.000 0.250 0.500
Li 0.750 0.500 0.000
Tc 0.000 0.000 0.000
Tc 0.500 0.500 0.500
CELL_PARAMETERS angstrom
-4.227 -2.654 -0.171
2.460 -4.024 1.642
-1.011 1.306 4.713
! **Space group**: No. 223
! **Energy of formation from the pure elements**: 2.7 eV per formula unit
! **Total magnetic moment**: 4.75 Bohr magnetons per cell



No. 2
! PBE Ac8Pr5Y, relaxed; values from VASP
&SYSTEM
  ibrav = 0, nat = 14, ntyp = 3
/
ATOMIC_SPECIES
Pr 140.91 Pr.upf
Y 88.91 Y.upf
Ac 227.00 Ac.upf
ATOMIC_POSITIONS crystal
Pr 0.602 0.084 0.540
Pr 0.312 0.086 0.852
Pr 0.003 0.081 0.136
Pr 0.853 0.703 0.664
Pr 0.875 0.937 0.411
Y 0.035 0.418 0.576
Ac 0.432 0.534 0.263
Ac 0.127 0.704 0.392
Ac 0.676 0.268 0.218
Ac 0.237 0.808 0.059
Ac 0.347 0.268 0.528
Ac 0.532 0.811 0.773
Ac 0.994 0.264 0.880
Ac 0.726 0.532 0.959
CELL_PARAMETERS angstrom
8.950 0.059 -1.735
-5.078 7.051 -3.626
1.258 0.000 9.055
! **Space group**: No. 1
! **Energy of formation from the pure elements**: 1.8 eV per formula unit
! **Total magnetic moment**: 0.00 Bohr magnetons per cell



No. 3
! PBE KRu2Rh, relaxed; values from VASP
&SYSTEM
  ibrav = 0, nat = 4, ntyp = 3
/
ATOMIC_SPECIES
K 39.10 K.upf
Rh 102.91 Rh.upf
Ru 101.07 Ru.upf
ATOMIC_POSITIONS crystal
K 0.000 0.000 0.000
Rh 0.500 0.500 0.500
Ru 0.750 0.750 0.750
Ru 0.250 0.250 0.250
CELL_PARAMETERS angstrom
2.631 2.303 2.916
-1.703 1.404 3.982
1.360 -1.962 3.877
! **Space group**: No. 225
! **Energy of formation from the pure elements**: 5.6 eV per formula unit
! **Total magnetic moment**: 2.33 Bohr magnetons per cell



No. 4
! PBE MnZn2P, relaxed; values from VASP
&SYSTEM
  ibrav = 0, nat = 4, ntyp = 3
/
ATOMIC_SPECIES
Zn 65.41 Zn.upf
P 30.97 P.upf
Mn 54.94 Mn.upf
ATOMIC_POSITIONS crystal
Zn 0.500 0.000 0.000
Zn 0.000 0.500 0.000
P 0.000 0.000 0.500
Mn 0.500 0.500 0.500
CELL_PARAMETERS angstrom
-1.661 -1.664 -2.879
-0.784 -2.931 2.146
-3.543 1.718 1.051
! **Space group**: No. 123
! **Energy of formation from the pure elements**: 0.2 eV per formula unit
! **Total magnetic moment**: 3.28 Bohr magnetons per cell



No. 5
! PBE LiPmTh2, relaxed; values from VASP
&SYSTEM
  ibrav = 0, nat = 4, ntyp = 3
/
ATOMIC_SPECIES
Th 232.04 Th.upf
Pm 145.00 Pm.upf
Li 6.94 Li.upf
ATOMIC_POSITIONS crystal
Th 0.080 0.080 0.760
Th 0.253 0.253 0.240
Pm 0.500 0.500 0.501
Li 0.667 0.667 0.999
CELL_PARAMETERS angstrom
3.500 0.000 0.000
1.750 3.031 0.000
1.750 1.010 11.590
! **Space group**: No. 160
! **Energy of formation from the pure elements**: 0.7 eV per formula unit
! **Total magnetic moment**: 0.00 Bohr magnetons per cell



No. 6
! PBE CsMn4Cl12, relaxed; values from VASP
&SYSTEM
  ibrav = 0, nat = 17, ntyp = 3
/
ATOMIC_SPECIES
Cl 35.45 Cl.upf
Mn 54.94 Mn.upf
Cs 132.91 Cs.upf
ATOMIC_POSITIONS crystal
Cl 0.796 0.297 0.093
Cl 0.703 0.907 0.204
Cl 0.204 0.297 0.501
Cl 0.703 0.499 0.796
Cl 0.796 0.703 0.499
Cl 0.204 0.703 0.907
Cl 0.297 0.501 0.204
Cl 0.501 0.204 0.297
Cl 0.297 0.093 0.796
Cl 0.907 0.204 0.703
Cl 0.093 0.796 0.297
Cl 0.499 0.796 0.703
Mn 0.500 0.000 0.000
Mn 0.500 0.500 0.500
Mn 0.000 0.500 0.000
Mn 0.000 0.000 0.500
Cs 0.000 0.000 0.000
CELL_PARAMETERS angstrom
-3.010 -1.962 7.328
8.152 0.172 0.364
-2.781 7.350 -2.204
! **Space group**: No. 204
! **Energy relative to the elements, uncorrected**: -1.033 eV per atom
! **Total magnetic moment**: 17.00 Bohr magnetons per cell